(1)
Crystalline Tb3VO6 at its relaxed geometry, computed with PBE+U.

The structure in POSCAR format:
```
Tb3VO6
1.0
4.524 -5.470 0.000
4.524 5.470 0.000
0.000 0.000 5.536
Tb V O
6 2 12
Cartesian
4.524 4.336 2.768
2.679 1.261 2.474
2.679 -1.261 5.242
6.370 1.261 2.474
6.370 -1.261 5.242
4.524 -4.336 0.000
4.524 1.653 5.193
4.524 -1.653 2.425
3.174 2.701 4.184
1.434 0.151 4.003
1.434 -0.151 1.235
4.524 2.434 1.423
5.875 2.701 4.184
4.524 0.137 3.486
4.524 -0.137 0.718
3.174 -2.701 1.416
4.524 -2.434 4.191
7.615 0.151 4.003
7.615 -0.151 1.235
5.875 -2.701 1.416
```

---

(2)
Crystalline Tb3VO6 at its relaxed geometry, computed with PBE+U.

The structure in POSCAR format:
```
Tb3VO6
1.0
4.755 2.745 3.618
-4.755 2.745 3.618
0.000 -5.490 3.618
Tb V O
6 2 12
Cartesian
-2.413 -2.399 5.037
-3.284 0.891 5.818
0.871 -3.289 5.818
-0.871 3.289 5.037
3.284 -0.891 5.037
2.413 2.399 5.818
0.000 0.000 0.000
0.000 0.000 5.428
-4.142 -1.227 5.977
-1.009 -4.201 4.878
-1.818 -0.235 4.381
-3.134 2.974 4.878
-0.706 -1.692 6.474
1.112 -1.457 4.381
-1.112 1.457 6.474
0.706 1.692 4.381
3.134 -2.974 5.977
1.818 0.235 6.474
1.009 4.201 5.977
4.142 1.227 4.878
```

---

(2) is favored, and the nearest alternative lies 4.3 kJ/mol of atoms above it.

---

(1)
Crystalline Tb2WO6 at its relaxed geometry, computed with PBE+U.

The structure in POSCAR format:
```
Tb2WO6
1.0
5.599 0.000 0.000
0.000 16.244 0.000
0.000 0.000 10.699
Tb W O
16 8 48
Cartesian
0.279 3.721 1.539
0.279 4.402 6.889
0.569 0.992 3.842
0.569 7.131 9.192
2.230 9.114 3.842
2.230 15.253 9.192
2.521 11.843 1.539
2.521 12.524 6.889
3.078 3.721 3.811
3.078 4.402 9.161
3.369 0.992 1.508
3.369 7.131 6.857
5.030 9.114 1.508
5.030 15.253 6.857
5.320 11.843 3.811
5.320 12.524 9.161
0.627 1.963 9.395
0.627 6.159 4.045
2.173 10.085 9.395
2.173 14.281 4.045
3.426 1.963 6.655
3.426 6.159 1.305
4.972 10.085 6.655
4.972 14.281 1.305
0.427 0.360 8.422
0.427 7.762 3.072
0.523 9.882 5.230
0.523 14.484 10.579
0.665 9.314 10.239
0.665 15.053 4.889
0.891 10.911 7.833
0.891 13.455 2.484
0.988 10.482 2.465
0.988 13.884 7.815
1.017 3.765 10.063
1.017 4.357 4.714
1.782 11.888 10.063
1.782 12.479 4.714
1.812 2.360 2.465
1.812 5.762 7.815
1.909 2.789 7.833
1.909 5.333 2.484
2.135 1.192 10.239
2.135 6.930 4.889
2.277 1.760 5.230
2.277 6.362 10.579
2.372 8.483 8.422
2.372 15.884 3.072
3.227 0.360 7.627
3.227 7.762 2.277
3.322 9.882 0.120
3.322 14.484 5.470
3.465 9.314 5.810
3.465 15.053 0.460
3.690 10.911 8.216
3.690 13.455 2.866
3.787 10.482 2.884
3.787 13.884 8.234
3.817 3.765 5.986
3.817 4.357 0.636
4.582 11.888 5.986
4.582 12.479 0.636
4.611 2.360 2.884
4.611 5.762 8.234
4.708 2.789 8.216
4.708 5.333 2.866
4.934 1.192 5.810
4.934 6.930 0.460
5.076 1.760 0.120
5.076 6.362 5.470
5.172 8.483 7.627
5.172 15.884 2.277
```

---

(2)
Crystalline Tb2WO6 at its relaxed geometry, computed with PBE+U.

The structure in POSCAR format:
```
Tb2WO6
1.0
5.517 0.000 0.000
0.000 5.711 0.000
-4.698 0.000 8.278
Tb W O
4 2 12
Cartesian
-0.031 0.407 1.898
-2.380 2.448 6.037
3.199 3.263 2.241
0.850 5.303 6.380
2.759 0.000 0.000
0.410 2.855 4.139
-3.541 1.034 7.886
-1.192 1.821 3.747
-2.828 4.227 7.330
-0.479 4.340 3.191
-1.159 0.623 6.618
1.190 2.232 2.479
-0.371 3.479 5.799
1.978 5.088 1.660
1.299 1.371 5.086
3.648 1.484 0.947
2.012 3.890 4.531
4.361 4.676 0.392
```

---

(3)
Crystalline Tb2WO6 at its relaxed geometry, computed with PBE+U.

The structure in POSCAR format:
```
Tb2WO6
1.0
7.984 -5.581 0.000
7.984 5.581 0.000
-1.426 0.000 5.258
Tb W O
8 4 24
Cartesian
1.504 1.245 4.665
6.914 4.371 3.944
2.217 -1.245 2.036
7.627 1.361 1.315
6.914 -1.361 3.944
12.324 1.245 3.223
7.627 -4.371 1.315
13.037 -1.245 0.593
4.628 1.800 3.073
9.201 1.800 4.814
5.340 -1.800 0.444
9.914 -1.800 2.185
3.618 2.413 1.466
1.336 0.150 0.423
0.624 -0.150 3.052
6.008 2.986 2.227
5.162 2.419 4.772
3.322 0.492 3.385
4.035 -0.492 0.756
9.246 2.986 0.403
5.945 0.496 2.791
8.667 2.419 3.116
6.658 -0.496 0.162
2.905 -2.413 4.095
11.636 2.413 1.163
7.883 0.496 5.096
5.875 -2.419 2.143
8.596 -0.496 2.467
5.295 -2.986 4.856
10.506 0.492 4.502
11.219 -0.492 1.873
9.380 -2.419 0.487
8.533 -2.986 3.032
13.918 0.150 2.206
13.205 -0.150 4.835
10.923 -2.413 3.792
```

---

(1) is favored, and the nearest alternative lies 2.6 kJ/mol of atoms above it.

---

(1)
Crystalline Tb2WO6 at its relaxed geometry, computed with PBE+U.

The structure in POSCAR format:
```
Tb2WO6
1.0
5.305 0.000 0.000
0.000 9.197 0.000
0.000 0.000 10.035
Tb W O
8 4 24
Cartesian
0.096 0.952 4.665
0.209 2.012 8.737
2.443 7.184 3.719
2.557 8.244 9.682
2.748 3.646 5.371
2.862 2.586 1.298
5.095 6.610 6.316
5.209 5.551 0.353
0.206 4.560 3.500
2.447 4.636 8.518
2.858 0.038 6.535
5.099 9.159 1.518
0.460 7.760 0.310
0.919 8.759 2.990
0.962 5.855 8.222
1.012 5.896 2.375
1.227 1.059 0.681
1.310 5.415 4.960
1.342 3.782 9.977
1.425 8.138 5.699
1.641 3.301 7.392
1.690 3.341 3.204
1.734 0.438 8.008
2.193 1.437 5.328
3.112 6.035 9.725
3.571 5.036 7.045
3.614 7.940 1.814
3.664 7.899 7.661
3.879 3.540 9.354
3.962 8.380 5.076
3.995 0.817 0.058
4.078 5.657 4.337
4.293 1.297 2.643
4.343 1.257 6.831
4.386 4.161 2.028
4.845 3.162 4.708
```

---

(2)
Crystalline Tb2WO6 at its relaxed geometry, computed with PBE+U.

The structure in POSCAR format:
```
Tb2WO6
1.0
5.609 0.000 0.000
0.000 5.381 0.000
-0.939 0.000 8.275
Tb W O
4 2 12
Cartesian
-0.037 0.000 1.127
1.895 5.080 7.157
2.775 2.389 1.119
4.707 2.691 7.149
0.927 2.851 4.008
3.743 0.161 4.268
-0.294 4.168 3.447
0.861 1.708 2.524
1.373 3.898 0.219
0.492 1.175 8.078
0.995 3.330 5.810
2.201 1.022 4.838
2.469 3.713 3.438
3.675 0.639 2.466
4.179 3.866 0.197
3.298 1.208 8.057
3.809 4.398 5.751
4.964 1.477 4.828
```

---

(1) is favored, and the nearest alternative lies 6.9 kJ/mol of atoms above it.

---

(1)
Crystalline TbWO5 at its relaxed geometry, computed with PBE+U.

The structure in POSCAR format:
```
TbWO5
1.0
4.551 -3.253 0.000
4.551 3.253 0.000
-3.207 0.000 6.972
Tb W O
2 2 10
Cartesian
2.145 2.925 5.229
3.749 -2.925 1.743
4.551 0.000 0.000
2.947 0.000 3.486
4.349 1.902 0.262
3.149 1.902 3.224
1.232 0.108 2.675
-0.371 -0.108 6.161
2.145 0.499 5.229
3.749 -0.499 1.743
6.266 0.108 0.811
4.662 -0.108 4.297
2.745 -1.902 3.748
1.546 -1.902 6.710
```

---

(2)
Crystalline TbWO5 at its relaxed geometry, computed with PBE+U.

The structure in POSCAR format:
```
TbWO5
1.0
-1.934 3.326 4.138
1.934 -3.326 4.138
1.934 3.326 -4.138
Tb W O
1 1 5
Cartesian
0.000 0.000 0.000
0.000 0.000 4.138
1.934 1.373 0.000
0.000 0.000 2.232
0.000 3.326 0.000
0.000 0.000 6.043
0.000 1.953 4.138
```

---

(3)
Crystalline TbWO5 at its relaxed geometry, computed with PBE+U.

The structure in POSCAR format:
```
TbWO5
1.0
5.324 0.000 0.000
0.000 12.792 0.000
-3.201 0.000 6.306
Tb W O
4 4 20
Cartesian
-0.198 0.683 1.825
-1.798 5.712 4.978
3.922 7.079 1.328
2.321 12.108 4.481
-0.778 1.795 5.404
0.822 4.601 2.251
1.301 8.191 4.055
2.901 10.997 0.902
-1.613 1.210 3.631
-0.013 5.186 0.478
-2.338 1.050 6.073
-0.737 5.346 2.920
0.264 7.999 2.569
-1.337 11.189 5.722
0.664 2.822 2.039
-0.937 3.574 5.192
0.484 0.826 4.250
2.085 5.570 1.097
0.039 7.222 5.209
1.639 11.966 2.056
3.060 9.218 1.114
1.460 9.970 4.267
3.460 1.603 0.584
1.860 4.793 3.737
2.861 7.446 3.386
4.461 11.742 0.233
2.136 7.606 5.828
3.736 11.582 2.675
```

---

(1) is favored, and the nearest alternative lies 2.2 kJ/mol of atoms above it.